VASP calculation (PBE-GGA) on a geometry-optimized PrErAg2 structure.

The space group is P4/mmm (No. 123) and the conventional cell measures 3.631, 3.631 and 7.535 Å, with angles of 90.00, 90.00 and 90.00 degrees. The distinct sites, in fractional coordinates, are Pr at (0.000, 0.000, 0.000), Er at (0.000, 0.000, 0.500) and Ag at (0.500, 0.500, 0.276).

The magnetization comes out at 0.16 μB per cell. The formation energy comes out at -1.21 eV per formula unit.

---

VASP calculation (PBE-GGA) on a geometry-optimized Ba2ReIrS6 structure.

The space group is Fm-3m (No. 225) and the conventional cell measures 9.595, 9.595 and 9.595 Å, with angles of 90.00, 90.00 and 90.00 degrees. The distinct sites, in fractional coordinates, are Ba at (0.250, 0.250, 0.250), Re at (0.000, 0.000, 0.000), Ir at (0.000, 0.000, 0.500) and S at (0.000, 0.000, 0.249).

The value obtained for the polymorph energy (0 for the lowest one) is 7 meV/atom. The magnetization comes out at 7.13 μB per cell.

---

VASP calculation (PBE-GGA) on a geometry-optimized HoCoSi2 structure.

The space group is Cmcm (No. 63) and the conventional cell measures 3.983, 16.231 and 3.957 Å, with angles of 90.00, 90.00 and 90.00 degrees. The distinct sites, in fractional coordinates, are Ho at (0.000, 0.107, 0.250), Co at (0.000, 0.321, 0.250), Si at (0.000, 0.250, 0.750) and Si at (0.000, 0.458, 0.250).

The magnetization comes out at 0.01 μB per cell. The total energy comes out at -6.42 eV/atom.

---

VASP calculation (PBE-GGA) on a geometry-optimized Nd3Er4I2 structure.

The space group is P-6 (No. 174) and the conventional cell measures 9.1332, 9.1332 and 3.8723 Å, with angles of 90.00, 90.00 and 120.00 degrees. The distinct sites, in fractional coordinates, are Nd at (0.0149, 0.6196, 0.0000), Er at (0.2770, 0.0072, 0.5000), Er at (0.6667, 0.3333, 0.5000), I at (0.0000, 0.0000, 0.0000) and I at (0.3333, 0.6667, 0.5000).

The magnetization comes out at 0.19 μB per cell. The total energy comes out at -4.25 eV/atom.

---

VASP calculation (PBE-GGA) on a geometry-optimized NdBeO3 structure.

The space group is R-3c (No. 167, hexagonal axes) and the conventional cell measures 5.4718, 5.4718 and 15.1893 Å, with angles of 90.00, 90.00 and 120.00 degrees. The distinct sites, in fractional coordinates, are Nd at (0.0000, 0.0000, 0.0000), Be at (0.0000, 0.0000, 0.2500) and O at (0.0000, 0.2810, 0.2500).

The magnetization comes out at 6.00 μB per cell. The total energy comes out at -7.13 eV/atom.

---

VASP calculation (PBE-GGA) on a geometry-optimized RbCdGe structure.

The space group is F-43m (No. 216) and the conventional cell measures 7.455, 7.455 and 7.455 Å, with angles of 90.00, 90.00 and 90.00 degrees. The distinct sites, in fractional coordinates, are Rb at (0.000, 0.000, 0.000), Cd at (0.250, 0.250, 0.750) and Ge at (0.000, 0.000, 0.500).

The value obtained for the polymorph energy (0 for the lowest one) is 32 meV/atom.

---

VASP calculation (PBE-GGA) on a geometry-optimized ErNi12B6 structure.

The space group is R-3m (No. 166, hexagonal axes) and the conventional cell measures 9.4982, 9.4982 and 7.3672 Å, with angles of 90.00, 90.00 and 120.00 degrees. The distinct sites, in fractional coordinates, are Er at (0.0000, 0.0000, 0.0000), Ni at (0.0000, 0.3699, 0.5000), Ni at (0.0886, 0.1772, 0.3631) and B at (0.0425, 0.5213, 0.2848).

The magnetization comes out at 0.01 μB per cell. The total energy comes out at -6.25 eV/atom.

---

VASP calculation (PBE-GGA) on a geometry-optimized TmB4Sb structure.

The space group is P6/mmm (No. 191) and the conventional cell measures 3.2194, 3.2194 and 7.9145 Å, with angles of 90.00, 90.00 and 120.00 degrees. The distinct sites, in fractional coordinates, are Tm at (0.0000, 0.0000, 0.0000), B at (0.3333, 0.6667, 0.2340) and Sb at (0.0000, 0.0000, 0.5000).

The value obtained for the polymorph energy (0 for the lowest one) is 49 meV/atom. The magnetization comes out at 0.00 μB per cell.